Density functional theory data (PBE with a Hubbard U) for Ni2MoRuO after structural relaxation.

Output
* DOS(E_F): 1.214 states/eV per atom
* E: -2.619 eV/atom
* calculated volume: 91 Å³ per cell
* spin magnetization: 0.00 μB/f.u.

Lattice parameters (Å, degrees): 4.426 4.426 4.632 90.00 90.00 90.00
Space group P4/mmm (No. 123)
Inequivalent atoms, fractional coordinates:
Ni (0.000, 0.500, 0.000)
Mo (0.000, 0.000, 0.000)
Ru (0.000, 0.000, 0.500)
O (0.500, 0.500, 0.500)